# 1
Here is a relaxed BaYTc2Sn crystal from the Alexandria database. Energies are from PBE.

Cell lengths 4.999, 4.999, 5.566 Å; angles 90.00, 90.00, 90.00 degrees
Positions (direct):
Ba: 0.000 0.000 0.000
Y: 0.000 0.000 0.500
Tc: 0.000 0.500 0.000
Tc: 0.500 0.000 0.000
Sn: 0.500 0.500 0.500

- formation enthalpy at 0 K (eV/f.u.) = 9.8
- DOS at the Fermi energy (states/eV per cell) = 8.57
- symmetry = P4/mmm, No. 123
- E (eV/atom) = -4.6546
- E above lowest polymorph (meV/atom) = 40

=====

# 2
Here is a relaxed BaY2TcSn crystal from the Alexandria database. Energies are from PBE.

Cell lengths 5.399, 5.399, 5.507 Å; angles 90.00, 90.00, 90.00 degrees
Positions (direct):
Ba: 0.000 0.000 0.000
Y: 0.000 0.500 0.500
Y: 0.500 0.000 0.500
Tc: 0.000 0.000 0.500
Sn: 0.500 0.500 0.000

- formation enthalpy at 0 K (eV/f.u.) = 0.8
- DOS at the Fermi energy (states/eV per cell) = 5.20
- symmetry = P4/mmm, No. 123
- E (eV/atom) = -5.6804

=====

# 3
Here is a relaxed BaYTc2Sn crystal from the Alexandria database. Energies are from PBE.

Cell lengths 5.045, 5.045, 5.937 Å; angles 90.00, 90.00, 90.00 degrees
Positions (direct):
Ba: 0.000 0.000 0.000
Y: 0.500 0.500 0.500
Tc: 0.000 0.500 0.000
Tc: 0.500 0.000 0.000
Sn: 0.000 0.000 0.500

- formation enthalpy at 0 K (eV/f.u.) = 9.6
- DOS at the Fermi energy (states/eV per cell) = 7.25
- symmetry = P4/mmm, No. 123
- E (eV/atom) = -4.6949
- E above lowest polymorph (meV/atom) = 0

=====

# 4
Here is a relaxed BaZnTcSn2 crystal from the Alexandria database. Energies are from PBE.

Cell lengths 5.181, 5.181, 5.089 Å; angles 90.00, 90.00, 90.00 degrees
Positions (direct):
Ba: 0.000 0.000 0.000
Zn: 0.500 0.500 0.000
Tc: 0.500 0.500 0.500
Sn: 0.000 0.500 0.500
Sn: 0.500 0.000 0.500

- formation enthalpy at 0 K (eV/f.u.) = -1.0
- DOS at the Fermi energy (states/eV per cell) = 2.56
- symmetry = P4/mmm, No. 123
- E (eV/atom) = -4.5211

=====

# 5
Here is a relaxed BaSn3Te crystal from the Alexandria database. Energies are from PBE.

Cell lengths 6.259, 6.259, 6.259 Å; angles 90.00, 90.00, 90.00 degrees
Positions (direct):
Ba: 0.000 0.000 0.000
Sn: 0.000 0.000 0.500
Sn: 0.000 0.500 0.000
Sn: 0.500 0.000 0.000
Te: 0.500 0.500 0.500

- DOS at the Fermi energy (states/eV per cell) = 11.54
- symmetry = Pm-3m, No. 221
- E_form (uncorrected) (eV/atom) = 1.028
- E (eV/atom) = -2.3862
- E above lowest polymorph (meV/atom) = 946

=====

# 6
Here is a relaxed Ba3SnTe4 crystal from the Alexandria database. Energies are from PBE.

Cell lengths 4.911, 4.911, 13.906 Å; angles 90.00, 90.00, 90.00 degrees
Positions (direct):
Ba: 0.000 0.000 0.000
Ba: 0.500 0.500 0.255
Ba: 0.500 0.500 0.745
Sn: 0.000 0.000 0.500
Te: 0.000 0.000 0.261
Te: 0.000 0.000 0.739
Te: 0.500 0.500 0.000
Te: 0.500 0.500 0.500

- symmetry = P4/mmm, No. 123
- E_form (uncorrected) (eV/atom) = -1.365
- E (eV/atom) = -4.1573
- E above lowest polymorph (meV/atom) = 0